DFT (PBE) results for crystalline KZn2F at its relaxed geometry.

Summary:
* D(E_F): 0.46 states/eV/f.u.
* mass density: 3.2 Mg/m³
* V: 24.32 A^3/atom
* E_form (uncorrected): -759 meV/atom

Geometry as CIF:
```
data_KZn2F
_chemical_formula_sum 'K2 Zn4 F2'
_symmetry_space_group_name_H-M 'P 1'
_symmetry_Int_Tables_number 1
_cell_length_a 6.727
_cell_length_b 6.727
_cell_length_c 6.727
_cell_angle_alpha 97.89
_cell_angle_beta 97.89
_cell_angle_gamma 136.52
loop_
_symmetry_equiv_pos_as_xyz
'x,y,z'
loop_
_atom_site_label
_atom_site_type_symbol
_atom_site_fract_x
_atom_site_fract_y
_atom_site_fract_z
K1 K 0.000 0.000 0.000
K2 K 0.750 0.250 0.500
Zn1 Zn 0.164 0.625 0.039
Zn2 Zn 0.375 0.414 0.539
Zn3 Zn 0.586 0.125 0.961
Zn4 Zn 0.875 0.836 0.461
F1 F 0.250 0.750 0.500
F2 F 0.500 0.500 0.000
```



DFT (PBE) results for crystalline K2ZnF3 at its relaxed geometry.

Summary:
* D(E_F): 1.12 states/eV/f.u.
* mass density: 3.0 Mg/m³
* V: 18.43 A^3/atom
* E_form (uncorrected): -2159 meV/atom

Geometry as CIF:
```
data_K2ZnF3
_chemical_formula_sum 'K4 Zn2 F6'
_symmetry_space_group_name_H-M 'P 1'
_symmetry_Int_Tables_number 1
_cell_length_a 6.423
_cell_length_b 6.423
_cell_length_c 7.176
_cell_angle_alpha 106.21
_cell_angle_beta 106.21
_cell_angle_gamma 51.83
loop_
_symmetry_equiv_pos_as_xyz
'x,y,z'
loop_
_atom_site_label
_atom_site_type_symbol
_atom_site_fract_x
_atom_site_fract_y
_atom_site_fract_z
K1 K 0.164 0.166 0.083
K2 K 0.166 0.164 0.583
K3 K 0.834 0.836 0.417
K4 K 0.836 0.834 0.917
Zn1 Zn 0.488 0.512 0.250
Zn2 Zn 0.512 0.488 0.750
F1 F 0.123 0.877 0.250
F2 F 0.349 0.351 0.425
F3 F 0.351 0.349 0.925
F4 F 0.649 0.651 0.075
F5 F 0.651 0.649 0.575
F6 F 0.877 0.123 0.750
```



DFT (PBE) results for crystalline K2Zn2F5 at its relaxed geometry.

Summary:
* D(E_F): 1.97 states/eV/f.u.
* mass density: 3.7 Mg/m³
* V: 15.10 A^3/atom
* E_form (uncorrected): -2271 meV/atom

Geometry as CIF:
```
data_K2Zn2F5
_chemical_formula_sum 'K2 Zn2 F5'
_symmetry_space_group_name_H-M 'P 1'
_symmetry_Int_Tables_number 1
_cell_length_a 4.282
_cell_length_b 4.282
_cell_length_c 7.412
_cell_angle_alpha 90.00
_cell_angle_beta 90.00
_cell_angle_gamma 90.00
loop_
_symmetry_equiv_pos_as_xyz
'x,y,z'
loop_
_atom_site_label
_atom_site_type_symbol
_atom_site_fract_x
_atom_site_fract_y
_atom_site_fract_z
K1 K 0.000 0.000 0.000
K2 K 0.000 0.000 0.500
Zn1 Zn 0.500 0.500 0.223
Zn2 Zn 0.500 0.500 0.777
F1 F 0.000 0.500 0.227
F2 F 0.000 0.500 0.773
F3 F 0.500 0.000 0.227
F4 F 0.500 0.000 0.773
F5 F 0.500 0.500 0.500
```



DFT (PBE) results for crystalline K2ZnF6 at its relaxed geometry.

Summary:
* D(E_F): 2.05 states/eV/f.u.
* mass density: 3.1 Mg/m³
* V: 15.51 A^3/atom
* E_form (uncorrected): -2041 meV/atom

Geometry as CIF:
```
data_K2ZnF6
_chemical_formula_sum 'K4 Zn2 F12'
_symmetry_space_group_name_H-M 'P 1'
_symmetry_Int_Tables_number 1
_cell_length_a 5.865
_cell_length_b 5.865
_cell_length_c 9.374
_cell_angle_alpha 90.00
_cell_angle_beta 90.00
_cell_angle_gamma 120.00
loop_
_symmetry_equiv_pos_as_xyz
'x,y,z'
loop_
_atom_site_label
_atom_site_type_symbol
_atom_site_fract_x
_atom_site_fract_y
_atom_site_fract_z
K1 K 0.000 0.000 0.000
K2 K 0.000 0.000 0.500
K3 K 0.333 0.667 0.263
K4 K 0.667 0.333 0.763
Zn1 Zn 0.333 0.667 0.649
Zn2 Zn 0.667 0.333 0.149
F1 F 0.028 0.514 0.527
F2 F 0.173 0.346 0.757
F3 F 0.173 0.827 0.757
F4 F 0.346 0.173 0.257
F5 F 0.486 0.514 0.527
F6 F 0.486 0.972 0.527
F7 F 0.514 0.028 0.027
F8 F 0.514 0.486 0.027
F9 F 0.654 0.827 0.757
F10 F 0.827 0.173 0.257
F11 F 0.827 0.654 0.257
F12 F 0.972 0.486 0.027
```